# LaReO2, optimized geometry, DFT PBE
# Energy relative to the elements, uncorrected   -0.70 eV/atom
# Polymorph energy (0 for the lowest one)   810 meV per atom
# DOS(E_F)   0.806 states/eV per atom
data_LaReO2
_symmetry_space_group_name_H-M 'P 1'
_symmetry_Int_Tables_number 1
_symmetry_space_group_name_Hall 'P 1'
_cell_length_a 4.249
_cell_length_b 4.249
_cell_length_c 4.249
_cell_angle_alpha 60.00
_cell_angle_beta 60.00
_cell_angle_gamma 60.00
loop_
_atom_site_label
_atom_site_type_symbol
_atom_site_fract_x
_atom_site_fract_y
_atom_site_fract_z
Re1 Re 0.500 0.500 0.500
O1 O 0.250 0.250 0.250
O2 O 0.750 0.750 0.750
La1 La 0.000 0.000 0.000